Material: Y2IrPdAu
Method: DFT, PBE
State: relaxed

Cell and atoms, written as CIF:
```
data_Y2IrPdAu
_chemical_formula_sum 'Y2 Ir1 Pd1 Au1'
_cell_length_a 5.240
_cell_length_b 5.240
_cell_length_c 5.016
_cell_angle_alpha 90.00
_cell_angle_beta 90.00
_cell_angle_gamma 90.00
_space_group_name_H-M_alt 'P 4/m m m'
_space_group_IT_number 123
_space_group_name_Hall '-P 4 2'
loop_
_atom_site_label
_atom_site_type_symbol
_atom_site_fract_x
_atom_site_fract_y
_atom_site_fract_z
Y1 Y 0.000 0.500 0.000
Ir1 Ir 0.000 0.000 0.000
Pd1 Pd 0.500 0.500 0.500
Au1 Au 0.000 0.000 0.500
```

ΔE_f = -0.06 eV/atom